# 1
23
Lattice="-0.3269 -4.5976 2.2252 4.4220 1.7460 4.3770 -6.5214 3.2806 5.1395" Properties=species:S:1:pos:R:3 comment="Na3Mn2P2C2O14 (PBEsol, relaxed)" e_tot_ev_per_atom=-7.419 e_form_raw_kj_per_mol_fu=-4105.9 volume_a3_per_cell=295.1 pbc="T T T"
Na -2.9681 2.2187 6.5032
Na 0.4964 -1.8251 5.1261
Na 2.6112 -1.0775 7.2145
Mn -1.1780 -0.1514 8.4336
Mn -1.2623 0.6128 3.3950
P -2.8580 -0.9797 5.6618
P 0.4060 1.4373 6.1051
C -2.8774 1.0313 9.5632
C 0.4431 -0.5795 2.2015
O -5.1601 2.0990 6.8092
O -2.5595 -0.2251 9.7802
O -2.1115 1.5380 8.6197
O -4.3119 -1.3601 5.4051
O -2.6894 -0.6449 7.1519
O -2.4358 0.2767 4.8239
O -0.5694 2.5741 6.4601
O -1.8924 -2.1320 5.2416
O 0.0707 0.1691 6.9640
O 0.2874 1.0759 4.6064
O 1.8771 1.8428 6.3203
O -0.3692 -1.0950 3.1299
O 0.0921 0.6814 1.9883
O 2.7470 -1.6299 5.0268

# 2
4
Lattice="-3.0650 -0.8211 -3.3829 1.4777 -0.8222 -4.3189 -0.3736 -4.2547 -1.8083" Properties=species:S:1:pos:R:3 comment="Sc2BrCl (PBEsol, relaxed)" e_tot_ev_per_atom=-5.118 relative_energy_ev_per_atom=0.4496 e_form_raw_kj_per_mol_fu=-326.4 volume_a3_per_cell=70.6 pbc="T T T"
Sc -0.4902 -1.4745 -2.3775
Sc -1.4706 -4.4235 -7.1326
Br 0.0000 0.0000 0.0000
Cl -0.9804 -2.9490 -4.7550

# 3
4
Lattice="-0.7764 0.5974 -2.6210 2.2540 -2.7213 -1.2879 -5.5142 -4.8204 0.5347" Properties=species:S:1:pos:R:3 comment="SrRe3 (PBEsol, relaxed)" e_tot_ev_per_atom=-9.710 relative_energy_ev_per_atom=0.0000 formation_energy_mev_per_atom=749 volume_a3_per_cell=77.3 pbc="T T T"
Re -2.9677 -4.3020 -1.5950
Re -2.7571 -2.4102 0.2674
Re -1.0690 -2.6422 -1.7792
Sr 0.0000 0.0000 0.0000

# 4
5
Lattice="-5.0130 0.4849 -0.8825 0.5404 -2.3884 -4.3822 -0.8278 -4.3897 2.2904" Properties=species:S:1:pos:R:3 comment="NbReAsBr2 (PBEsol, relaxed)" e_tot_ev_per_atom=-5.334 e_form_raw_kj_per_mol_fu=610.7 volume_a3_per_cell=128.9 pbc="T T T"
Re -2.6502 -3.1466 -1.4872
Nb 0.0000 0.0000 0.0000
As -2.5065 0.2425 -0.4412
Br -0.4139 -2.1948 1.1452
Br 0.2702 -1.1942 -2.1911

# 5
24
Lattice="5.5083 0.0000 0.0000 0.0000 5.5256 0.0000 -2.7541 0.0000 9.0273" Properties=species:S:1:pos:R:3 comment="Li2CaTa2O7 (PBEsol, relaxed)" e_tot_ev_per_atom=-8.478 relative_energy_ev_per_atom=0.0059 e_form_raw_kj_per_mol_fu=-3263.5 volume_a3_per_cell=274.8 pbc="T T T"
Li 0.0000 2.7628 4.7527
Li 0.0000 0.0000 4.7527
Li 2.7541 2.7628 4.2746
Li 2.7541 0.0000 4.2746
Ca 1.3756 1.3814 0.0000
Ca 4.1327 4.1442 0.0000
Ta 4.1530 1.3814 2.0293
Ta 1.3553 4.1442 2.0293
Ta -1.3988 4.1442 6.9981
Ta 1.3988 1.3814 6.9981
O 3.6781 1.3814 0.0000
O 1.8302 4.1442 0.0000
O -1.0857 1.3814 3.8824
O 1.0857 4.1442 3.8824
O 3.8398 4.1442 5.1449
O 1.6684 1.3814 5.1449
O 2.7541 2.7628 2.1541
O 2.7541 0.0000 2.1541
O 0.0000 2.7628 6.8732
O 0.0000 0.0000 6.8732
O 0.0000 2.7628 1.5109
O 0.0000 0.0000 1.5109
O 2.7541 2.7628 7.5165
O 2.7541 0.0000 7.5165

# 6
4
Lattice="2.9075 0.0000 0.0000 0.0000 4.4347 -0.0316 -1.4537 -0.3400 4.5456" Properties=species:S:1:pos:R:3 comment="PIrW2 (PBEsol, relaxed)" e_tot_ev_per_atom=-10.687 formation_energy_mev_per_atom=120 volume_a3_per_cell=58.6 pbc="T T T"
Ir 0.0000 2.2174 -0.0158
P 1.4537 0.0000 0.0000
W 0.0000 0.9505 2.3804
W 1.4537 3.1442 2.1337